## Ce2Mg5Sn3Pb2 (PBE)

Data for a relaxed Ce2Mg5Sn3Pb2 crystal.

The structure in CIF format:
```
data_Ce2Mg5Sn3Pb2
_chemical_formula_sum 'Ce4 Mg10 Sn6 Pb4'
_space_group_name_H-M_alt 'I 4/m m m'
_space_group_IT_number 139
_space_group_name_Hall '-I 4 2'
_cell_length_a 4.4475
_cell_length_b 4.4475
_cell_length_c 35.9242
_cell_angle_alpha 90.00
_cell_angle_beta 90.00
_cell_angle_gamma 90.00
loop_
_atom_site_label
_atom_site_type_symbol
_atom_site_fract_x
_atom_site_fract_y
_atom_site_fract_z
Ce1 Ce 0.0000 0.0000 0.2154
Mg1 Mg 0.0000 0.0000 0.0000
Mg2 Mg 0.0000 0.5000 0.1372
Sn1 Sn 0.0000 0.0000 0.3063
Sn2 Sn 0.0000 0.0000 0.5000
Pb1 Pb 0.0000 0.0000 0.0804
```

Properties
ρ = 5.5 Mg/m³
final energy = -3.381 eV/atom
energy of formation = -0.11 eV per atom
density of states at the Fermi level = 17.699 states/eV/f.u.